Entry 1:
VASP calculation (PBE-GGA) on a relaxed CsRb2TaBr8 crystal.

The structure in POSCAR format:
```
CsRb2TaBr8
1.0
-1.892 0.422 -6.096
4.387 -6.817 1.157
-8.876 -5.305 2.389
Cs Rb Ta Br
1 2 1 8
direct
0.000 0.000 0.500 Cs
0.499 0.500 0.730 Rb
0.501 0.500 0.270 Rb
0.000 0.000 0.000 Ta
0.082 0.812 0.170 Br
0.595 0.801 0.000 Br
0.918 0.188 0.170 Br
0.918 0.188 0.830 Br
0.405 0.199 0.000 Br
0.082 0.812 0.830 Br
0.398 0.730 0.500 Br
0.602 0.270 0.500 Br
```

Calculated values
Energy relative to the elements, uncorrected in eV/atom: -1.298
Symmetry: P-1 (2)



Entry 2:
VASP calculation (PBE-GGA) on a relaxed Mn2AlV crystal.

The structure in POSCAR format:
```
Mn2AlV
1.0
-0.428 -2.768 -1.046
3.952 -0.270 -0.901
0.739 -1.511 3.697
Mn Al V
2 1 1
direct
0.000 0.000 0.500 Mn
0.000 0.500 0.000 Mn
0.500 0.000 0.000 Al
0.500 0.500 0.500 V
```

Calculated values
N(E_F) in states/eV/f.u.: 2.1
E_tot in eV per cell: -32.328
Symmetry: P4/mmm (123)



Entry 3:
VASP calculation (PBE-GGA) on a relaxed GaBiAu6 crystal.

The structure in POSCAR format:
```
GaBiAu6
1.0
-0.318 -3.935 -0.474
-0.393 -0.442 3.932
-10.537 0.966 -0.944
Ga Bi Au
1 1 6
direct
0.000 0.000 0.500 Ga
0.000 0.000 0.000 Bi
0.500 0.000 0.671 Au
0.000 0.500 0.671 Au
0.500 0.500 0.130 Au
0.500 0.500 0.870 Au
0.000 0.500 0.329 Au
0.500 0.000 0.329 Au
```

Calculated values
N(E_F) in states/eV/f.u.: 4.2
E_tot in eV per cell: -26.821
Symmetry: P4/mmm (123)